Record 1
# In2PPtC (PBE, relaxed)
# Size of the total moment   0.00 Bohr magnetons per cell
# Formation energy from the elements   0.81 eV/atom
# Volume   19.59 Å³ per atom
data_In2PPtC
_cell_length_a 5.422
_cell_length_b 5.422
_cell_length_c 3.333
_cell_angle_alpha 90.00
_cell_angle_beta 90.00
_cell_angle_gamma 90.00
_space_group_name_H-M_alt 'P 1'
_space_group_IT_number 1
_space_group_name_Hall 'P 1'
loop_
_atom_site_label
_atom_site_fract_x
_atom_site_fract_y
_atom_site_fract_z
In1 0.000 0.500 0.000
In2 0.500 0.000 0.000
P1 0.000 0.000 0.000
Pt1 0.500 0.500 0.500
C1 0.000 0.000 0.500

---

Record 2
# In2PRhC (PBE, relaxed)
# Size of the total moment   2.04 Bohr magnetons per cell
# Formation energy from the elements   1.21 eV/atom
# Volume   23.67 Å³ per atom
data_In2PRhC
_cell_length_a 5.196
_cell_length_b 5.196
_cell_length_c 4.382
_cell_angle_alpha 90.00
_cell_angle_beta 90.00
_cell_angle_gamma 90.00
_space_group_name_H-M_alt 'P 1'
_space_group_IT_number 1
_space_group_name_Hall 'P 1'
loop_
_atom_site_label
_atom_site_fract_x
_atom_site_fract_y
_atom_site_fract_z
In1 0.000 0.500 0.000
In2 0.500 0.000 0.000
P1 0.000 0.000 0.500
Rh1 0.000 0.000 0.000
C1 0.500 0.500 0.500

---

Record 3
# InPRuC2 (PBE, relaxed)
# Size of the total moment   1.32 Bohr magnetons per cell
# Formation energy from the elements   1.96 eV/atom
# Volume   17.72 Å³ per atom
data_InPRuC2
_cell_length_a 3.569
_cell_length_b 3.569
_cell_length_c 6.957
_cell_angle_alpha 90.00
_cell_angle_beta 90.00
_cell_angle_gamma 90.00
_space_group_name_H-M_alt 'P 1'
_space_group_IT_number 1
_space_group_name_Hall 'P 1'
loop_
_atom_site_label
_atom_site_fract_x
_atom_site_fract_y
_atom_site_fract_z
In1 0.000 0.000 0.000
P1 0.000 0.000 0.500
Ru1 0.500 0.500 0.000
C1 0.000 0.500 0.500
C2 0.500 0.000 0.500

---

Record 4
# InPCS2 (PBE, relaxed)
# Energy relative to the lowest polymorph listed for this composition   0.000 eV per atom
# Size of the total moment   0.00 Bohr magnetons per cell
# Uncorrected formation energy   1.009 eV per atom
# Volume   16.41 Å³ per atom
data_InPCS2
_cell_length_a 4.702
_cell_length_b 4.702
_cell_length_c 3.711
_cell_angle_alpha 90.00
_cell_angle_beta 90.00
_cell_angle_gamma 90.00
_space_group_name_H-M_alt 'P 1'
_space_group_IT_number 1
_space_group_name_Hall 'P 1'
loop_
_atom_site_label
_atom_site_fract_x
_atom_site_fract_y
_atom_site_fract_z
In1 0.000 0.000 0.000
P1 0.500 0.500 0.000
C1 0.500 0.500 0.500
S1 0.000 0.500 0.500
S2 0.500 0.000 0.500

---

Record 5
# InPCS2 (PBE, relaxed)
# Energy relative to the lowest polymorph listed for this composition   1.221 eV per atom
# Size of the total moment   0.00 Bohr magnetons per cell
# Uncorrected formation energy   2.229 eV per atom
# Volume   24.99 Å³ per atom
data_InPCS2
_cell_length_a 4.951
_cell_length_b 4.951
_cell_length_c 5.098
_cell_angle_alpha 90.00
_cell_angle_beta 90.00
_cell_angle_gamma 90.00
_space_group_name_H-M_alt 'P 1'
_space_group_IT_number 1
_space_group_name_Hall 'P 1'
loop_
_atom_site_label
_atom_site_fract_x
_atom_site_fract_y
_atom_site_fract_z
In1 0.000 0.000 0.000
P1 0.000 0.000 0.500
C1 0.500 0.500 0.500
S1 0.000 0.500 0.000
S2 0.500 0.000 0.000

---

Record 6
# In2SiPC (PBE, relaxed)
# Size of the total moment   0.00 Bohr magnetons per cell
# Uncorrected formation energy   0.921 eV per atom
# Volume   20.59 Å³ per atom
data_In2SiPC
_cell_length_a 5.461
_cell_length_b 5.461
_cell_length_c 3.452
_cell_angle_alpha 90.00
_cell_angle_beta 90.00
_cell_angle_gamma 90.00
_space_group_name_H-M_alt 'P 1'
_space_group_IT_number 1
_space_group_name_Hall 'P 1'
loop_
_atom_site_label
_atom_site_fract_x
_atom_site_fract_y
_atom_site_fract_z
In1 0.000 0.500 0.000
In2 0.500 0.000 0.000
Si1 0.000 0.000 0.000
P1 0.500 0.500 0.500
C1 0.000 0.000 0.500